Entry from Alexandria: a geometry-optimized Cr3InF structure (PBE with a Hubbard U).

## Properties
- total magnetization (μB/cell) = 13.8
- ΔE to the lowest computed polymorph (eV per atom) = 0.829
- space group = Pm-3m

Lattice parameters (Å, degrees): 5.3114 5.3114 5.3114 90.00 90.00 90.00
With the nearest neighbours (Å) after each atom.
Positions (direct):
Cr (0.0000, 0.0000, 0.5000)  2 In 2.66
Cr (0.0000, 0.5000, 0.0000)  2 In 2.66
Cr (0.5000, 0.0000, 0.0000)  2 In 2.66
In (0.0000, 0.0000, 0.0000)  6 Cr 2.66
F (0.5000, 0.5000, 0.5000)  12 Cr 3.76